Entry 1:
The following is a DFT calculation (PBE-GGA) of a relaxed structure of LiCoNiW.

a = 4.101 Å, b = 4.101 Å, c = 4.101 Å
α = 60.00°, β = 60.00°, γ = 60.00°
Each line ends with the local moment (μB).
Fractional coordinates of all 4 atoms:
Ni1 0.000 0.000 0.000  0.06
Co1 0.500 0.500 0.500  0.21
W1 0.750 0.750 0.750  0.02
Li1 0.250 0.250 0.250  0.00

Results
As for the total energy: -6.79 eV/atom.



Entry 2:
The following is a DFT calculation (PBE-GGA) of a relaxed structure of Li2YCoNi.

a = 4.381 Å, b = 4.960 Å, c = 4.381 Å
α = 90.00°, β = 90.00°, γ = 90.00°
Fractional coordinates of all 5 atoms:
Y1 0.000 0.500 0.000
Ni1 0.500 0.500 0.500
Co1 0.000 0.000 0.000
Li1 0.000 0.000 0.500
Li2 0.500 0.000 0.000

Results
As for the total energy: -4.04 eV/atom.



Entry 3:
The following is a DFT calculation (PBE-GGA) of a relaxed structure of LiZrCoNi.

a = 4.292 Å, b = 4.292 Å, c = 4.292 Å
α = 60.00°, β = 60.00°, γ = 60.00°
Fractional coordinates of all 4 atoms:
Ni1 0.750 0.750 0.750
Co1 0.250 0.250 0.250
Zr1 0.500 0.500 0.500
Li1 0.000 0.000 0.000

Results
As for the total energy: -5.94 eV/atom.